NaY3Sc2Se6 after structural relaxation, computed with PBE.

a b c (Å): 8.984 8.984 8.074
angles (deg): 102.59 102.59 25.86
Element x y z (fractional)
Na 0.000 0.000 0.000
Y 0.000 0.000 0.500
Y 0.338 0.338 0.174
Y 0.662 0.662 0.826
Sc 0.332 0.332 0.653
Sc 0.668 0.668 0.347
Se 0.169 0.169 0.095
Se 0.169 0.169 0.578
Se 0.494 0.494 0.748
Se 0.506 0.506 0.252
Se 0.831 0.831 0.422
Se 0.831 0.831 0.905

Calculated values
spin magnetization: 0.000 μB/atom
symmetry: No. 12
energy: -74.4 eV per cell
calculated volume: 277 Å³ per cell
crystal system: monoclinic
raw formation energy: -1680 meV/atom